# MgU2As2O16 (PBE, optimized geometry)
data_MgU2As2O16
_chemical_formula_sum 'Mg2 U4 As4 O32'
_cell_length_a 14.433
_cell_length_b 7.238
_cell_length_c 7.023
_cell_angle_alpha 90.00
_cell_angle_beta 103.88
_cell_angle_gamma 90.00
_symmetry_space_group_name_H-M 'C 1 2/m 1'
_symmetry_Int_Tables_number 12
_symmetry_space_group_name_Hall '-C 2y'
loop_
_atom_site_label
_atom_site_fract_x
_atom_site_fract_y
_atom_site_fract_z
_atom_site_occupancy
Mg1 0.000 0.000 0.000 1
U1 0.241 0.000 0.351 1
As1 0.207 0.500 0.161 1
O1 0.061 0.248 0.935 1
O2 0.083 0.500 0.107 1
O3 0.110 0.000 0.270 1
O4 0.131 0.500 0.575 1
O5 0.240 0.000 0.029 1
O6 0.248 0.322 0.325 1
# **Magnetization**: 0.381 μB per atom
# **Raw total energy**: -6.67 eV/atom
# **Uncorrected formation energy**: -2631 kJ/mol of formula units